Below is an optimized crystal structure of GeP4, with properties calculated at the PBE level.

For the total energy, the calculation gives -3.9570 eV per atom. The density of states at the Fermi level comes out at 5.4 states/eV/cell. The value obtained for the formation energy from the elements is 1.294 eV per atom. The excess energy over the best structure of this formula in the dataset comes out at 1175.7 meV per atom.

```
data_GeP4
_chemical_formula_sum 'Ge1 P4'
_symmetry_space_group_name_H-M 'P m -3 m'
_symmetry_Int_Tables_number 221
_symmetry_space_group_name_Hall '-P 4 2 3'
_cell_length_a 4.6425
_cell_length_b 4.6425
_cell_length_c 4.6425
_cell_angle_alpha 90.00
_cell_angle_beta 90.00
_cell_angle_gamma 90.00
loop_
_atom_site_label
_atom_site_type_symbol
_atom_site_fract_x
_atom_site_fract_y
_atom_site_fract_z
_atom_site_occupancy
Ge1 Ge 0.0000 0.0000 0.0000 1
P1 P 0.0000 0.0000 0.5000 1
P2 P 0.5000 0.5000 0.5000 1
```